## NdCr2GeO6 (PBE+U)

Data for a relaxed NdCr2GeO6 crystal.

Properties
For the total energy, the calculation gives -75.1 eV per formula unit. Its space-group type is P1.

Cell: 5.3199 5.2503 5.8642 Å, 63.60 60.44 60.73°
Site moments in Bohr magnetons follow the coordinates.
Atoms (fractional coordinates):
1 Cr 0.0051 0.0104 0.9762  3.02
2 O 0.3607 0.7120 0.7624  -0.02
3 O 0.1707 0.3522 0.7604  -0.03
4 O 0.9418 0.6008 0.2226  -0.03
5 O 0.7248 0.1451 0.7840  0.00
6 Ge 0.3231 0.3226 0.0351  0.04
7 Cr 0.5248 0.5123 0.4287  3.75
8 O 0.5877 0.2495 0.2155  -0.03
9 O 0.2132 0.9706 0.2164  0.01
10 Nd 0.8098 0.7860 0.6138  0.03